Material: ReRuO2F
Method: DFT, PBE
State: optimized geometry

The density of states at the Fermi level comes out at 4.7 states/eV/f.u. As for the total energy: -6.9435 eV per atom.

It has space group P4/mmm (No. 123), with a = 3.7968 Å, b = 3.7968 Å, c = 4.6974 Å, α = 90.00°, β = 90.00° and γ = 90.00°. The distinct sites, in fractional coordinates, are Re at (0.0000, 0.0000, 0.0000), Ru at (0.5000, 0.5000, 0.5000), O at (0.0000, 0.5000, 0.0000) and F at (0.0000, 0.0000, 0.5000).